Model one:
A relaxed Gd2TmBi crystal, computed with PBE.

Density of states at the Fermi level ... 1.384 states/eV/atom

```
data_Gd2TmBi
_chemical_formula_sum 'Gd2 Tm1 Bi1'
_cell_length_a 3.640
_cell_length_b 3.640
_cell_length_c 11.155
_cell_angle_alpha 80.61
_cell_angle_beta 80.61
_cell_angle_gamma 60.00
_symmetry_space_group_name_H-M 'P 1'
_symmetry_Int_Tables_number 1
_symmetry_space_group_name_Hall 'P 1'
loop_
_atom_site_label
_atom_site_type_symbol
_atom_site_fract_x
_atom_site_fract_y
_atom_site_fract_z
_atom_site_occupancy
Gd1 Gd 0.253 0.253 0.240 1
Gd2 Gd 0.747 0.747 0.760 1
Tm1 Tm 0.500 0.500 0.500 1
Bi1 Bi 0.000 0.000 0.000 1
```


Model two:
A relaxed Gd2TmBi crystal, computed with PBE.

Density of states at the Fermi level ... 1.167 states/eV/atom

```
data_Gd2TmBi
_chemical_formula_sum 'Gd2 Tm1 Bi1'
_cell_length_a 4.130
_cell_length_b 4.130
_cell_length_c 7.090
_cell_angle_alpha 90.00
_cell_angle_beta 90.00
_cell_angle_gamma 90.00
_symmetry_space_group_name_H-M 'P 1'
_symmetry_Int_Tables_number 1
_symmetry_space_group_name_Hall 'P 1'
loop_
_atom_site_label
_atom_site_type_symbol
_atom_site_fract_x
_atom_site_fract_y
_atom_site_fract_z
_atom_site_occupancy
Gd1 Gd 0.000 0.000 0.766 1
Gd2 Gd 0.000 0.000 0.234 1
Tm1 Tm 0.500 0.500 0.500 1
Bi1 Bi 0.500 0.500 0.000 1
```


Relative energy table, unit meV/atom: model one 196; model two 0


Model one:
A relaxed GdYBi crystal, computed with PBE.

Density of states at the Fermi level ... 1.281 states/eV/atom

```
data_GdYBi
_chemical_formula_sum 'Gd1 Y1 Bi1'
_cell_length_a 3.912
_cell_length_b 5.272
_cell_length_c 5.272
_cell_angle_alpha 120.00
_cell_angle_beta 90.00
_cell_angle_gamma 90.00
_symmetry_space_group_name_H-M 'P 1'
_symmetry_Int_Tables_number 1
_symmetry_space_group_name_Hall 'P 1'
loop_
_atom_site_label
_atom_site_type_symbol
_atom_site_fract_x
_atom_site_fract_y
_atom_site_fract_z
_atom_site_occupancy
Y1 Y 0.741 0.333 0.667 1
Gd1 Gd 0.273 0.667 0.333 1
Bi1 Bi 0.985 0.000 0.000 1
```


Model two:
A relaxed GdYBi crystal, computed with PBE.

Density of states at the Fermi level ... 0.824 states/eV/atom

```
data_GdYBi
_chemical_formula_sum 'Gd1 Y1 Bi1'
_cell_length_a 4.084
_cell_length_b 4.084
_cell_length_c 6.120
_cell_angle_alpha 109.49
_cell_angle_beta 109.49
_cell_angle_gamma 90.00
_symmetry_space_group_name_H-M 'P 1'
_symmetry_Int_Tables_number 1
_symmetry_space_group_name_Hall 'P 1'
loop_
_atom_site_label
_atom_site_type_symbol
_atom_site_fract_x
_atom_site_fract_y
_atom_site_fract_z
_atom_site_occupancy
Y1 Y 0.628 0.628 0.255 1
Gd1 Gd 0.941 0.941 0.882 1
Bi1 Bi 0.281 0.281 0.562 1
```


Relative energy table, unit meV/atom: model one 217; model two 0


Model one:
A relaxed GdY2Bi crystal, computed with PBE.

Density of states at the Fermi level ... 1.227 states/eV/atom

```
data_GdY2Bi
_chemical_formula_sum 'Gd1 Y2 Bi1'
_cell_length_a 4.103
_cell_length_b 4.103
_cell_length_c 7.260
_cell_angle_alpha 90.00
_cell_angle_beta 90.00
_cell_angle_gamma 90.00
_symmetry_space_group_name_H-M 'P 1'
_symmetry_Int_Tables_number 1
_symmetry_space_group_name_Hall 'P 1'
loop_
_atom_site_label
_atom_site_type_symbol
_atom_site_fract_x
_atom_site_fract_y
_atom_site_fract_z
_atom_site_occupancy
Y1 Y 0.000 0.000 0.731 1
Y2 Y 0.000 0.000 0.269 1
Gd1 Gd 0.500 0.500 0.000 1
Bi1 Bi 0.500 0.500 0.500 1
```


Model two:
A relaxed GdY2Bi crystal, computed with PBE.

Density of states at the Fermi level ... 1.058 states/eV/atom

```
data_GdY2Bi
_chemical_formula_sum 'Gd1 Y2 Bi1'
_cell_length_a 3.652
_cell_length_b 3.652
_cell_length_c 11.101
_cell_angle_alpha 80.53
_cell_angle_beta 80.53
_cell_angle_gamma 60.00
_symmetry_space_group_name_H-M 'P 1'
_symmetry_Int_Tables_number 1
_symmetry_space_group_name_Hall 'P 1'
loop_
_atom_site_label
_atom_site_type_symbol
_atom_site_fract_x
_atom_site_fract_y
_atom_site_fract_z
_atom_site_occupancy
Y1 Y 0.254 0.254 0.237 1
Y2 Y 0.746 0.746 0.763 1
Gd1 Gd 0.500 0.500 0.500 1
Bi1 Bi 0.000 0.000 0.000 1
```


Relative energy table, unit meV/atom: model one 0; model two 163


Model one:
A relaxed Gd2ZnBi crystal, computed with PBE.

Density of states at the Fermi level ... 0.641 states/eV/atom

```
data_Gd2ZnBi
_chemical_formula_sum 'Gd2 Zn1 Bi1'
_cell_length_a 3.964
_cell_length_b 3.964
_cell_length_c 6.764
_cell_angle_alpha 90.00
_cell_angle_beta 90.00
_cell_angle_gamma 90.00
_symmetry_space_group_name_H-M 'P 1'
_symmetry_Int_Tables_number 1
_symmetry_space_group_name_Hall 'P 1'
loop_
_atom_site_label
_atom_site_type_symbol
_atom_site_fract_x
_atom_site_fract_y
_atom_site_fract_z
_atom_site_occupancy
Zn1 Zn 0.500 0.500 0.500 1
Gd1 Gd 0.000 0.000 0.744 1
Gd2 Gd 0.000 0.000 0.256 1
Bi1 Bi 0.500 0.500 0.000 1
```


Model two:
A relaxed Gd2ZnBi crystal, computed with PBE.

Density of states at the Fermi level ... 1.088 states/eV/atom

```
data_Gd2ZnBi
_chemical_formula_sum 'Gd2 Zn1 Bi1'
_cell_length_a 5.344
_cell_length_b 5.344
_cell_length_c 5.344
_cell_angle_alpha 60.00
_cell_angle_beta 60.00
_cell_angle_gamma 60.00
_symmetry_space_group_name_H-M 'P 1'
_symmetry_Int_Tables_number 1
_symmetry_space_group_name_Hall 'P 1'
loop_
_atom_site_label
_atom_site_type_symbol
_atom_site_fract_x
_atom_site_fract_y
_atom_site_fract_z
_atom_site_occupancy
Zn1 Zn 0.500 0.500 0.500 1
Gd1 Gd 0.250 0.250 0.250 1
Gd2 Gd 0.750 0.750 0.750 1
Bi1 Bi 0.000 0.000 0.000 1
```


Relative energy table, unit meV/atom: model one 0; model two 73


Model one:
A relaxed GeBi3 crystal, computed with PBE.

Density of states at the Fermi level ... 0.462 states/eV/atom

```
data_GeBi3
_chemical_formula_sum 'Ge1 Bi3'
_cell_length_a 6.085
_cell_length_b 4.420
_cell_length_c 4.943
_cell_angle_alpha 90.00
_cell_angle_beta 90.00
_cell_angle_gamma 90.00
_symmetry_space_group_name_H-M 'P 1'
_symmetry_Int_Tables_number 1
_symmetry_space_group_name_Hall 'P 1'
loop_
_atom_site_label
_atom_site_type_symbol
_atom_site_fract_x
_atom_site_fract_y
_atom_site_fract_z
_atom_site_occupancy
Ge1 Ge 0.500 0.000 0.849 1
Bi1 Bi 0.000 0.000 0.846 1
Bi2 Bi 0.000 0.500 0.417 1
Bi3 Bi 0.500 0.500 0.222 1
```


Model two:
A relaxed GeBi3 crystal, computed with PBE.

Density of states at the Fermi level ... 0.662 states/eV/atom

```
data_GeBi3
_chemical_formula_sum 'Ge1 Bi3'
_cell_length_a 4.024
_cell_length_b 4.918
_cell_length_c 6.808
_cell_angle_alpha 111.17
_cell_angle_beta 107.19
_cell_angle_gamma 90.00
_symmetry_space_group_name_H-M 'P 1'
_symmetry_Int_Tables_number 1
_symmetry_space_group_name_Hall 'P 1'
loop_
_atom_site_label
_atom_site_type_symbol
_atom_site_fract_x
_atom_site_fract_y
_atom_site_fract_z
_atom_site_occupancy
Ge1 Ge 0.000 0.944 0.000 1
Bi1 Bi 0.304 0.707 0.608 1
Bi2 Bi 0.500 0.416 0.000 1
Bi3 Bi 0.696 0.099 0.392 1
```


Model three:
A relaxed GeBi3 crystal, computed with PBE.

Density of states at the Fermi level ... 1.339 states/eV/atom

```
data_GeBi3
_chemical_formula_sum 'Ge1 Bi3'
_cell_length_a 5.502
_cell_length_b 5.502
_cell_length_c 5.502
_cell_angle_alpha 60.00
_cell_angle_beta 60.00
_cell_angle_gamma 60.00
_symmetry_space_group_name_H-M 'P 1'
_symmetry_Int_Tables_number 1
_symmetry_space_group_name_Hall 'P 1'
loop_
_atom_site_label
_atom_site_type_symbol
_atom_site_fract_x
_atom_site_fract_y
_atom_site_fract_z
_atom_site_occupancy
Ge1 Ge 0.000 0.000 0.000 1
Bi1 Bi 0.250 0.250 0.250 1
Bi2 Bi 0.750 0.750 0.750 1
Bi3 Bi 0.500 0.500 0.500 1
```


Relative energy table, unit meV/atom: model one 0; model two 16; model three 124


Model one:
A relaxed GeBiH2 crystal, computed with PBE.

Density of states at the Fermi level ... 0.354 states/eV/atom

```
data_GeBiH2
_chemical_formula_sum 'Ge1 Bi1 H2'
_cell_length_a 4.309
_cell_length_b 4.309
_cell_length_c 4.309
_cell_angle_alpha 60.00
_cell_angle_beta 60.00
_cell_angle_gamma 60.00
_symmetry_space_group_name_H-M 'P 1'
_symmetry_Int_Tables_number 1
_symmetry_space_group_name_Hall 'P 1'
loop_
_atom_site_label
_atom_site_type_symbol
_atom_site_fract_x
_atom_site_fract_y
_atom_site_fract_z
_atom_site_occupancy
H1 H 0.250 0.250 0.250 1
H2 H 0.750 0.750 0.750 1
Ge1 Ge 0.000 0.000 0.000 1
Bi1 Bi 0.500 0.500 0.500 1
```


Model two:
A relaxed GeBiH2 crystal, computed with PBE.

Density of states at the Fermi level ... 0.617 states/eV/atom

```
data_GeBiH2
_chemical_formula_sum 'Ge2 Bi2 H4'
_cell_length_a 5.698
_cell_length_b 5.698
_cell_length_c 5.670
_cell_angle_alpha 59.83
_cell_angle_beta 59.83
_cell_angle_gamma 90.00
_symmetry_space_group_name_H-M 'P 1'
_symmetry_Int_Tables_number 1
_symmetry_space_group_name_Hall 'P 1'
loop_
_atom_site_label
_atom_site_type_symbol
_atom_site_fract_x
_atom_site_fract_y
_atom_site_fract_z
_atom_site_occupancy
H1 H 0.378 0.125 0.250 1
H2 H 0.372 0.625 0.250 1
H3 H 0.375 0.622 0.750 1
H4 H 0.875 0.628 0.750 1
Ge1 Ge 0.500 0.500 0.000 1
Ge2 Ge 0.250 0.750 0.500 1
Bi1 Bi 0.000 0.000 0.000 1
Bi2 Bi 0.750 0.250 0.500 1
```


Relative energy table, unit meV/atom: model one 294; model two 0